[1]
Li2HfIrPb, optimized geometry, DFT GGA-PBE; mass density = 7.5 g/cm3; N(E_F) = 0.70 states/eV per atom; energy relative to the elements = 824.4 meV/atom; total energy = -4.446 eV/atom
1.0
5.263 0.000 0.000
0.000 5.263 0.000
0.000 0.000 4.724
Li Hf Ir Pb
2 1 1 1
direct
0.000 0.500 0.000
0.500 0.000 0.000
0.000 0.000 0.000
0.000 0.000 0.500
0.500 0.500 0.500



[2]
CdPtBr, optimized geometry, DFT GGA-PBE; mass density = 8.5 g/cm3; N(E_F) = 0.67 states/eV per atom; total energy = -2.842 eV/atom
1.0
10.202 0.000 0.000
0.000 1.923 3.841
0.000 -1.923 3.841
Cd Pt Br
2 2 2
direct
0.000 0.000 0.000
0.500 0.075 0.075
0.130 0.311 0.311
0.870 0.311 0.311
0.307 0.763 0.763
0.693 0.763 0.763



[3]
Th6Tl5In, optimized geometry, DFT GGA-PBE; mass density = 11.8 g/cm3; N(E_F) = 1.09 states/eV per atom; energy relative to the elements = -125.4 meV/atom; total energy = -5.049 eV/atom
1.0
2.954 -8.879 0.000
2.954 8.879 0.000
0.000 0.000 6.768
Th Tl In
6 5 1
direct
0.000 0.000 0.249
0.000 0.000 0.751
0.334 0.666 0.249
0.334 0.666 0.751
0.666 0.334 0.249
0.666 0.334 0.751
0.167 0.833 0.000
0.167 0.833 0.500
0.500 0.500 0.500
0.833 0.167 0.000
0.833 0.167 0.500
0.500 0.500 0.000



[4]
Ta2SbAs, optimized geometry, DFT GGA-PBE; mass density = 12.2 g/cm3; N(E_F) = 1.06 states/eV per atom; total energy = -7.846 eV/atom
1.0
3.530 0.000 0.000
0.000 4.292 0.000
0.000 0.000 5.017
Ta Sb As
2 1 1
direct
0.000 0.000 0.000
0.500 0.000 0.500
0.000 0.500 0.500
0.500 0.500 0.000



[5]
BaCd2Pd, optimized geometry, DFT GGA-PBE; mass density = 7.3 g/cm3; N(E_F) = 0.54 states/eV per atom; energy relative to the elements = -457.9 meV/atom; total energy = -2.694 eV/atom
1.0
16.938 0.000 0.000
0.000 8.221 0.000
0.000 0.000 6.159
Ba Cd Pd
8 16 8
direct
0.103 0.250 0.233
0.136 0.750 0.037
0.364 0.250 0.537
0.397 0.750 0.733
0.603 0.250 0.267
0.636 0.750 0.463
0.864 0.250 0.963
0.897 0.750 0.767
0.044 0.061 0.720
0.044 0.439 0.720
0.210 0.554 0.548
0.210 0.946 0.548
0.290 0.054 0.048
0.290 0.446 0.048
0.456 0.561 0.220
0.456 0.939 0.220
0.544 0.061 0.780
0.544 0.439 0.780
0.710 0.554 0.952
0.710 0.946 0.952
0.790 0.054 0.452
0.790 0.446 0.452
0.956 0.561 0.280
0.956 0.939 0.280
0.071 0.750 0.517
0.190 0.250 0.773
0.310 0.750 0.273
0.429 0.250 0.017
0.571 0.750 0.983
0.690 0.250 0.727
0.810 0.750 0.227
0.929 0.250 0.483



[6]
Cs2PuAlO6, optimized geometry, DFT GGA-PBE; mass density = 5.2 g/cm3; total energy = -7.188 eV/atom
1.0
6.640 0.000 0.000
-3.320 5.750 0.000
0.000 0.000 5.283
Cs Pu Al O
2 1 1 6
direct
0.333 0.667 0.196
0.667 0.333 0.804
0.000 0.000 0.500
0.000 0.000 0.000
0.130 0.260 0.759
0.130 0.870 0.759
0.260 0.130 0.241
0.740 0.870 0.759
0.870 0.130 0.241
0.870 0.740 0.241



[7]
Nb2ZnGe2, optimized geometry, DFT GGA-PBE; mass density = 7.5 g/cm3; N(E_F) = 0.64 states/eV per atom; energy relative to the elements = -132.4 meV/atom; total energy = -6.262 eV/atom
1.0
7.016 0.000 0.000
0.000 7.016 0.000
0.000 0.000 3.574
Nb Zn Ge
4 2 4
direct
0.155 0.345 0.000
0.345 0.845 0.000
0.655 0.155 0.000
0.845 0.655 0.000
0.000 0.000 0.000
0.500 0.500 0.000
0.144 0.644 0.500
0.356 0.144 0.500
0.644 0.856 0.500
0.856 0.356 0.500



[8]
Cd4TeCl2, optimized geometry, DFT GGA-PBE; mass density = 3.9 g/cm3; N(E_F) = 0.20 states/eV per atom; total energy = -1.699 eV/atom
1.0
-2.697 2.697 9.437
2.697 -2.697 9.437
2.697 2.697 -9.437
Cd Te Cl
4 1 2
direct
0.000 0.500 0.500
0.241 0.241 0.000
0.500 0.000 0.500
0.759 0.759 0.000
0.500 0.500 0.000
0.086 0.086 0.000
0.914 0.914 0.000



[9]
Pu2InSi3Pt4, optimized geometry, DFT GGA-PBE; mass density = 13.0 g/cm3; N(E_F) = 2.70 states/eV per atom; total energy = -7.951 eV/atom
1.0
4.180 0.000 0.000
0.000 4.180 0.000
0.000 0.000 10.705
Pu In Si Pt
2 1 3 4
direct
0.000 0.500 0.242
0.500 0.000 0.758
0.000 0.000 0.500
0.000 0.500 0.874
0.500 0.000 0.126
0.500 0.500 0.500
0.000 0.000 0.000
0.000 0.500 0.654
0.500 0.000 0.346
0.500 0.500 0.000



[10]
La2BAsOs, optimized geometry, DFT GGA-PBE; mass density = 7.9 g/cm3; N(E_F) = 0.87 states/eV per atom; energy relative to the elements = -385.8 meV/atom; total energy = -6.868 eV/atom
1.0
5.362 0.000 0.000
0.000 5.362 0.000
0.000 0.000 4.030
La B As Os
2 1 1 1
direct
0.000 0.500 0.000
0.500 0.000 0.000
0.000 0.000 0.000
0.500 0.500 0.500
0.000 0.000 0.500



[11]
In3CuTe4, optimized geometry, DFT GGA-PBE; mass density = 5.1 g/cm3; N(E_F) = 0.49 states/eV per atom; total energy = -3.286 eV/atom
1.0
-3.360 3.360 6.563
3.360 -3.360 6.563
3.360 3.360 -6.563
In Cu Te
3 1 4
direct
0.000 0.000 0.000
0.250 0.750 0.500
0.750 0.250 0.500
0.500 0.500 0.000
0.160 0.160 0.558
0.399 0.840 0.000
0.601 0.601 0.442
0.840 0.399 0.000



[12]
BaPr2Pd, optimized geometry, DFT GGA-PBE; mass density = 6.2 g/cm3; N(E_F) = 1.36 states/eV per atom; energy relative to the elements = -249.8 meV/atom; total energy = -4.418 eV/atom
1.0
3.758 0.000 0.000
0.000 3.758 0.000
0.000 0.000 9.996
Ba Pr Pd
1 2 1
direct
0.000 0.000 0.000
0.500 0.500 0.333
0.500 0.500 0.667
0.000 0.000 0.500



Which of these has the lowest total energy?
Pu2InSi3Pt4



Repeat the sixth record exactly.
Cs2PuAlO6, optimized geometry, DFT GGA-PBE; mass density = 5.2 g/cm3; total energy = -7.188 eV/atom
1.0
6.640 0.000 0.000
-3.320 5.750 0.000
0.000 0.000 5.283
Cs Pu Al O
2 1 1 6
direct
0.333 0.667 0.196
0.667 0.333 0.804
0.000 0.000 0.500
0.000 0.000 0.000
0.130 0.260 0.759
0.130 0.870 0.759
0.260 0.130 0.241
0.740 0.870 0.759
0.870 0.130 0.241
0.870 0.740 0.241



Copy entry 12 word for word.
BaPr2Pd, optimized geometry, DFT GGA-PBE; mass density = 6.2 g/cm3; N(E_F) = 1.36 states/eV per atom; energy relative to the elements = -249.8 meV/atom; total energy = -4.418 eV/atom
1.0
3.758 0.000 0.000
0.000 3.758 0.000
0.000 0.000 9.996
Ba Pr Pd
1 2 1
direct
0.000 0.000 0.000
0.500 0.500 0.333
0.500 0.500 0.667
0.000 0.000 0.500



Among the records above, which one has the highest total energy?
Cd4TeCl2